Model one:
Density functional theory data (PBE-GGA) for a relaxed MgPbO2 crystal.

Results
Symmetry: R-3m
Crystal system: trigonal
Total magnetic moment (μB/f.u.): 0.000

Unit cell a=6.725 b=6.725 c=6.725 alpha=32.35 beta=32.35 gamma=32.35
Fractional coordinates of all 4 atoms:
Mg (0.000, 0.000, 0.000)
Pb (0.500, 0.500, 0.500)
O (0.096, 0.096, 0.096)
O (0.904, 0.904, 0.904)

Model two:
Density functional theory data (PBE-GGA) for a relaxed MgPbO2 crystal.

Results
Symmetry: R-3m
Crystal system: trigonal
Total magnetic moment (μB/f.u.): 0.000

Unit cell a=6.629 b=6.629 c=6.629 alpha=27.95 beta=27.95 gamma=27.95
Fractional coordinates of all 4 atoms:
Mg (0.000, 0.000, 0.000)
Pb (0.500, 0.500, 0.500)
O (0.387, 0.387, 0.387)
O (0.613, 0.613, 0.613)

Least stable = model one

Model one:
Density functional theory data (PBE-GGA) for a relaxed MgPb2O crystal.

Results
Symmetry: I-42d
Crystal system: tetragonal
Total magnetic moment (μB/f.u.): 0.000

Unit cell a=7.497 b=7.497 c=7.497 alpha=131.57 beta=131.57 gamma=70.91
Fractional coordinates of all 8 atoms:
Mg (0.000, 0.000, 0.000)
Mg (0.750, 0.250, 0.500)
Pb (0.214, 0.625, 0.089)
Pb (0.375, 0.464, 0.589)
Pb (0.536, 0.125, 0.911)
Pb (0.875, 0.786, 0.411)
O (0.250, 0.750, 0.500)
O (0.500, 0.500, 0.000)

Model two:
Density functional theory data (PBE-GGA) for a relaxed MgPb2O crystal.

Results
Symmetry: Fm-3m
Crystal system: cubic
Total magnetic moment (μB/f.u.): 0.000

Unit cell a=4.982 b=4.982 c=4.982 alpha=60.00 beta=60.00 gamma=60.00
Fractional coordinates of all 4 atoms:
Mg (0.000, 0.000, 0.000)
Pb (0.250, 0.250, 0.250)
Pb (0.750, 0.750, 0.750)
O (0.500, 0.500, 0.500)

Least stable = model two

Model one:
Density functional theory data (PBE-GGA) for a relaxed MgTePtPbO crystal.

Results
Symmetry: P1
Crystal system: triclinic
Total magnetic moment (μB/f.u.): 0.000

Unit cell a=3.879 b=5.383 c=5.714 alpha=70.94 beta=73.19 gamma=78.39
Fractional coordinates of all 5 atoms:
Mg (0.000, 0.000, 0.000)
Te (0.254, 0.202, 0.399)
Pt (0.827, 0.492, 0.116)
Pb (0.475, 0.590, 0.701)
O (0.551, 0.885, 0.951)

Model two:
Density functional theory data (PBE-GGA) for a relaxed MgTePtPbO crystal.

Results
Symmetry: Cm
Crystal system: monoclinic
Total magnetic moment (μB/f.u.): 0.000

Unit cell a=7.713 b=7.713 c=3.431 alpha=90.24 beta=90.24 gamma=32.87
Fractional coordinates of all 5 atoms:
Mg (0.000, 0.000, 0.000)
Te (0.350, 0.350, 0.999)
Pt (0.842, 0.842, 0.500)
Pb (0.648, 0.648, 0.504)
O (0.066, 0.066, 0.501)

Least stable = model one

Model one:
Density functional theory data (PBE-GGA) for a relaxed MgTePtPbO crystal.

Results
Symmetry: P1
Crystal system: triclinic
Total magnetic moment (μB/f.u.): 0.000

Unit cell a=3.431 b=3.432 c=10.889 alpha=90.15 beta=90.02 gamma=119.99
Fractional coordinates of all 5 atoms:
Mg (0.000, 0.000, 0.000)
Te (0.657, 0.326, 0.690)
Pt (0.323, 0.658, 0.527)
Pb (0.655, 0.322, 0.320)
O (0.333, 0.667, 0.001)

Model two:
Density functional theory data (PBE-GGA) for a relaxed MgTePtPbO crystal.

Results
Symmetry: P1
Crystal system: triclinic
Total magnetic moment (μB/f.u.): 0.000

Unit cell a=3.497 b=4.130 c=7.730 alpha=90.05 beta=102.99 gamma=90.00
Fractional coordinates of all 5 atoms:
Mg (0.000, 0.000, 0.000)
Te (0.667, 0.000, 0.339)
Pt (0.135, 0.500, 0.274)
Pb (0.347, 0.499, 0.692)
O (0.437, 0.999, 0.872)

Model three:
Density functional theory data (PBE-GGA) for a relaxed MgTePtPbO crystal.

Results
Symmetry: P1
Crystal system: triclinic
Total magnetic moment (μB/f.u.): 0.000

Unit cell a=4.856 b=4.908 c=5.814 alpha=89.34 beta=89.51 gamma=65.51
Fractional coordinates of all 5 atoms:
Mg (0.000, 0.000, 0.000)
Te (0.352, 0.347, 0.088)
Pt (0.739, 0.120, 0.413)
Pb (0.554, 0.690, 0.607)
O (0.049, 0.916, 0.673)

Model four:
Density functional theory data (PBE-GGA) for a relaxed MgTePtPbO crystal.

Results
Symmetry: P1
Crystal system: triclinic
Total magnetic moment (μB/f.u.): 0.000

Unit cell a=3.632 b=5.727 c=6.465 alpha=75.96 beta=89.74 gamma=71.66
Fractional coordinates of all 5 atoms:
Mg (0.000, 0.000, 0.000)
Te (0.485, 0.039, 0.463)
Pt (0.855, 0.299, 0.599)
Pb (0.244, 0.520, 0.831)
O (0.469, 0.061, 0.108)

Least stable = model four